DFT (PBE) results for a relaxed structure of Fe2AgSb2.

Cell and atoms, written as extended XYZ:
```
5
Lattice="-1.721 1.721 8.226 1.721 -1.721 8.226 1.721 1.721 -8.226" Properties=species:S:1:pos:R:3 pbc="T T T"
Fe 1.721 0.000 4.113
Fe 0.000 1.721 4.113
Ag 0.000 0.000 0.000
Sb 0.000 0.000 6.171
Sb 0.000 0.000 10.280
```

Calculated values
The value obtained for the density of states at the Fermi level is 0.500 states/eV per atom. Its total energy is -0.3953 Ry per atom. Its volume is 97.4 Å³/cell. The total moment is 4.19 μB/f.u.